Record 1
# Ac2Pm3PuS6 PBE relaxed
data_Ac2Pm3PuS6
_chemical_formula_sum 'Ac4 Pm6 Pu2 S12'
_symmetry_space_group_name_H-M 'C 1 2/m 1'
_symmetry_Int_Tables_number 12
_symmetry_space_group_name_Hall '-C 2y'
_cell_length_a 17.976
_cell_length_b 4.095
_cell_length_c 8.288
_cell_angle_alpha 90.00
_cell_angle_beta 103.60
_cell_angle_gamma 90.00
loop_
_atom_site_label
_atom_site_type_symbol
_atom_site_fract_x
_atom_site_fract_y
_atom_site_fract_z
_atom_site_occupancy
Ac1 Ac 0.164 0.000 0.330 1
Pm1 Pm 0.000 0.500 0.500 1
Pm2 Pm 0.167 0.000 0.837 1
Pu1 Pu 0.000 0.500 0.000 1
S1 S 0.005 0.000 0.756 1
S2 S 0.163 0.500 0.595 1
S3 S 0.165 0.500 0.071 1
# Crystal system: monoclinic
# Calculated total energy (Ry per atom): -0.522

***

Record 2
# Cr2HRhS PBE relaxed
data_Cr2HRhS
_chemical_formula_sum 'Cr2 H1 Rh1 S1'
_symmetry_space_group_name_H-M 'P 4/m m m'
_symmetry_Int_Tables_number 123
_symmetry_space_group_name_Hall '-P 4 2'
_cell_length_a 4.149
_cell_length_b 4.149
_cell_length_c 4.323
_cell_angle_alpha 90.00
_cell_angle_beta 90.00
_cell_angle_gamma 90.00
loop_
_atom_site_label
_atom_site_type_symbol
_atom_site_fract_x
_atom_site_fract_y
_atom_site_fract_z
_atom_site_occupancy
Cr1 Cr 0.000 0.500 0.000 1
H1 H 0.000 0.000 0.500 1
Rh1 Rh 0.500 0.500 0.500 1
S1 S 0.500 0.500 0.000 1
# Crystal system: tetragonal
# Calculated total energy (Ry per atom): -0.424

***

Record 3
# LiGdAu PBE relaxed
data_LiGdAu
_chemical_formula_sum 'Li1 Gd1 Au1'
_symmetry_space_group_name_H-M 'P -6 m 2'
_symmetry_Int_Tables_number 187
_symmetry_space_group_name_Hall 'P -6 2'
_cell_length_a 4.5261
_cell_length_b 4.5261
_cell_length_c 3.6558
_cell_angle_alpha 90.00
_cell_angle_beta 90.00
_cell_angle_gamma 120.00
loop_
_atom_site_label
_atom_site_type_symbol
_atom_site_fract_x
_atom_site_fract_y
_atom_site_fract_z
_atom_site_occupancy
Li1 Li 0.0000 0.0000 0.0000 1
Gd1 Gd 0.6667 0.3333 0.5000 1
Au1 Au 0.3333 0.6667 0.0000 1
# Crystal system: hexagonal
# Calculated total energy (Ry per atom): -0.510
# Formation energy from the elements (eV/atom): -0.52

***

Record 4
# Ce4PuPt2 PBE relaxed
data_Ce4PuPt2
_chemical_formula_sum 'Ce8 Pu2 Pt4'
_symmetry_space_group_name_H-M 'I 4/m m m'
_symmetry_Int_Tables_number 139
_symmetry_space_group_name_Hall '-I 4 2'
_cell_length_a 7.490
_cell_length_b 7.490
_cell_length_c 5.826
_cell_angle_alpha 90.00
_cell_angle_beta 90.00
_cell_angle_gamma 90.00
loop_
_atom_site_label
_atom_site_type_symbol
_atom_site_fract_x
_atom_site_fract_y
_atom_site_fract_z
_atom_site_occupancy
Ce1 Ce 0.190 0.190 0.000 1
Pu1 Pu 0.000 0.000 0.500 1
Pt1 Pt 0.000 0.500 0.250 1
# Crystal system: tetragonal
# Calculated total energy (Ry per atom): -0.556
# Formation energy from the elements (eV/atom): -0.40

***

Record 5
# Nd8Te4PS3 PBE relaxed
data_Nd8Te4PS3
_chemical_formula_sum 'Nd24 Te12 P3 S9'
_symmetry_space_group_name_H-M 'R -3 m'
_symmetry_Int_Tables_number 166
_symmetry_space_group_name_Hall '-R 3 2"'
_cell_length_a 8.4766
_cell_length_b 8.4766
_cell_length_c 21.6871
_cell_angle_alpha 90.00
_cell_angle_beta 90.00
_cell_angle_gamma 120.00
loop_
_atom_site_label
_atom_site_type_symbol
_atom_site_fract_x
_atom_site_fract_y
_atom_site_fract_z
_atom_site_occupancy
Nd1 Nd 0.0000 0.0000 0.2358 1
Nd2 Nd 0.0026 0.5013 0.2361 1
Te1 Te 0.0000 0.0000 0.0000 1
Te2 Te 0.0000 0.5000 0.0000 1
P1 P 0.0000 0.0000 0.5000 1
S1 S 0.0000 0.5000 0.5000 1
# Crystal system: trigonal
# Calculated total energy (Ry per atom): -0.440

***

Record 6
# In2AgPb2 PBE relaxed
data_In2AgPb2
_chemical_formula_sum 'In4 Ag2 Pb4'
_symmetry_space_group_name_H-M 'I 4/m m m'
_symmetry_Int_Tables_number 139
_symmetry_space_group_name_Hall '-I 4 2'
_cell_length_a 4.119
_cell_length_b 4.119
_cell_length_c 17.160
_cell_angle_alpha 90.00
_cell_angle_beta 90.00
_cell_angle_gamma 90.00
loop_
_atom_site_label
_atom_site_type_symbol
_atom_site_fract_x
_atom_site_fract_y
_atom_site_fract_z
_atom_site_occupancy
In1 In 0.000 0.500 0.250 1
Ag1 Ag 0.000 0.000 0.000 1
Pb1 Pb 0.000 0.000 0.405 1
# Crystal system: tetragonal
# Calculated total energy (Ry per atom): -0.216
# Formation energy from the elements (eV/atom): 0.21

***

Record 7
# VCl PBE relaxed
data_VCl
_chemical_formula_sum 'V4 Cl4'
_symmetry_space_group_name_H-M 'F m -3 m'
_symmetry_Int_Tables_number 225
_symmetry_space_group_name_Hall '-F 4 2 3'
_cell_length_a 5.304
_cell_length_b 5.304
_cell_length_c 5.304
_cell_angle_alpha 90.00
_cell_angle_beta 90.00
_cell_angle_gamma 90.00
loop_
_atom_site_label
_atom_site_type_symbol
_atom_site_fract_x
_atom_site_fract_y
_atom_site_fract_z
_atom_site_occupancy
V1 V 0.000 0.000 0.000 1
Cl1 Cl 0.000 0.000 0.500 1
# Crystal system: cubic
# Calculated total energy (Ry per atom): -0.385

***

Record 8
# Sr2Mg5Pb3 PBE relaxed
data_Sr2Mg5Pb3
_chemical_formula_sum 'Sr2 Mg5 Pb3'
_symmetry_space_group_name_H-M 'P -4 m 2'
_symmetry_Int_Tables_number 115
_symmetry_space_group_name_Hall 'P -4 -2'
_cell_length_a 4.785
_cell_length_b 4.785
_cell_length_c 13.612
_cell_angle_alpha 90.00
_cell_angle_beta 90.00
_cell_angle_gamma 90.00
loop_
_atom_site_label
_atom_site_type_symbol
_atom_site_fract_x
_atom_site_fract_y
_atom_site_fract_z
_atom_site_occupancy
Sr1 Sr 0.000 0.500 0.246 1
Mg1 Mg 0.000 0.000 0.000 1
Mg2 Mg 0.000 0.000 0.500 1
Mg3 Mg 0.000 0.500 0.867 1
Mg4 Mg 0.500 0.500 0.000 1
Pb1 Pb 0.000 0.500 0.654 1
Pb2 Pb 0.500 0.500 0.500 1
# Crystal system: tetragonal
# Calculated total energy (Ry per atom): -0.174
# Formation energy from the elements (eV/atom): -0.12

***

Record 9
# P2Pt5Pb2 PBE relaxed
data_P2Pt5Pb2
_chemical_formula_sum 'P4 Pt10 Pb4'
_symmetry_space_group_name_H-M 'C 1 2/m 1'
_symmetry_Int_Tables_number 12
_symmetry_space_group_name_Hall '-C 2y'
_cell_length_a 11.655
_cell_length_b 4.000
_cell_length_c 8.516
_cell_angle_alpha 90.00
_cell_angle_beta 99.90
_cell_angle_gamma 90.00
loop_
_atom_site_label
_atom_site_type_symbol
_atom_site_fract_x
_atom_site_fract_y
_atom_site_fract_z
_atom_site_occupancy
P1 P 0.147 0.000 0.348 1
Pt1 Pt 0.000 0.000 0.500 1
Pt2 Pt 0.110 0.000 0.083 1
Pt3 Pt 0.164 0.500 0.501 1
Pb1 Pb 0.132 0.500 0.857 1
# Crystal system: monoclinic
# Calculated total energy (Ry per atom): -0.415
# Formation energy from the elements (eV/atom): -0.27

***

Record 10
# Ce3YEr3Se8 PBE relaxed
data_Ce3YEr3Se8
_chemical_formula_sum 'Ce9 Y3 Er9 Se24'
_symmetry_space_group_name_H-M 'R -3 m'
_symmetry_Int_Tables_number 166
_symmetry_space_group_name_Hall '-R 3 2"'
_cell_length_a 8.1710
_cell_length_b 8.1710
_cell_length_c 20.4254
_cell_angle_alpha 90.00
_cell_angle_beta 90.00
_cell_angle_gamma 120.00
loop_
_atom_site_label
_atom_site_type_symbol
_atom_site_fract_x
_atom_site_fract_y
_atom_site_fract_z
_atom_site_occupancy
Ce1 Ce 0.0000 0.5000 0.0000 1
Y1 Y 0.0000 0.0000 0.5000 1
Er1 Er 0.0000 0.5000 0.5000 1
Se1 Se 0.0000 0.0000 0.2450 1
Se2 Se 0.0079 0.5039 0.7531 1
# Crystal system: trigonal
# Calculated total energy (Ry per atom): -0.457

***

Record 11
# Ce6AgIr PBE relaxed
data_Ce6AgIr
_chemical_formula_sum 'Ce12 Ag2 Ir2'
_symmetry_space_group_name_H-M 'C 1 2/m 1'
_symmetry_Int_Tables_number 12
_symmetry_space_group_name_Hall '-C 2y'
_cell_length_a 7.202
_cell_length_b 8.530
_cell_length_c 6.390
_cell_angle_alpha 90.00
_cell_angle_beta 103.97
_cell_angle_gamma 90.00
loop_
_atom_site_label
_atom_site_type_symbol
_atom_site_fract_x
_atom_site_fract_y
_atom_site_fract_z
_atom_site_occupancy
Ce1 Ce 0.141 0.231 0.260 1
Ce2 Ce 0.245 0.000 0.968 1
Ag1 Ag 0.000 0.500 0.500 1
Ir1 Ir 0.000 0.000 0.500 1
# Crystal system: monoclinic
# Calculated total energy (Ry per atom): -0.445
# Formation energy from the elements (eV/atom): -0.13

***

Record 12
# YMnW2 PBE relaxed
data_YMnW2
_chemical_formula_sum 'Y1 Mn1 W2'
_symmetry_space_group_name_H-M 'P 1 m 1'
_symmetry_Int_Tables_number 6
_symmetry_space_group_name_Hall 'P -2y'
_cell_length_a 2.879
_cell_length_b 4.305
_cell_length_c 6.006
_cell_angle_alpha 90.00
_cell_angle_beta 101.87
_cell_angle_gamma 90.00
loop_
_atom_site_label
_atom_site_type_symbol
_atom_site_fract_x
_atom_site_fract_y
_atom_site_fract_z
_atom_site_occupancy
Y1 Y 0.000 0.000 0.000 1
Mn1 Mn 0.718 0.500 0.287 1
W1 W 0.290 0.500 0.698 1
W2 W 0.493 0.000 0.495 1
# Crystal system: monoclinic
# Calculated total energy (Ry per atom): -0.729
# Formation energy from the elements (eV/atom): 0.47